Density functional theory data (PBE) for a relaxed PmEr7Pb4 crystal.

a = 12.9368 Å, b = 5.7122 Å, c = 11.4457 Å
α = 90.00°, β = 120.51°, γ = 90.00°
Space group C2/m (No. 12)
Asymmetric unit:
Pm (0.0000, 0.0000, 0.0000) (multiplicity 2)
Er (0.0000, 0.5000, 0.0000) (multiplicity 2)
Er (0.0405, 0.0000, 0.3757) (multiplicity 4)
Er (0.1563, 0.5000, 0.5699) (multiplicity 4)
Er (0.2151, 0.0000, 0.8976) (multiplicity 4)
Pb (0.0892, 0.5000, 0.7865) (multiplicity 4)
Pb (0.2080, 0.5000, 0.3218) (multiplicity 4)

ΔE_f   -0.65 eV/f.u.
Total energy   -104.3 eV/cell


Density functional theory data (PBE) for a relaxed PmEr6Pb6 crystal.

a = 7.0100 Å, b = 7.0100 Å, c = 9.4360 Å
α = 90.00°, β = 90.00°, γ = 120.00°
Space group P6/mmm (No. 191)
Asymmetric unit:
Pm (0.0000, 0.0000, 0.0000) (multiplicity 1)
Er (0.0000, 0.5000, 0.2512) (multiplicity 6)
Pb (0.0000, 0.0000, 0.3362) (multiplicity 2)
Pb (0.3333, 0.6667, 0.0000) (multiplicity 2)
Pb (0.3333, 0.6667, 0.5000) (multiplicity 2)

ΔE_f   -4.10 eV/f.u.
Total energy   -58.5 eV/cell


Density functional theory data (PBE) for a relaxed Pm2Er5Pb5 crystal.

a = 13.0561 Å, b = 4.9286 Å, c = 12.1178 Å
α = 90.00°, β = 109.84°, γ = 90.00°
Space group C2/m (No. 12)
Asymmetric unit:
Pm (0.0743, 0.0000, 0.2596) (multiplicity 4)
Er (0.0000, 0.5000, 0.0000) (multiplicity 2)
Er (0.1514, 0.5000, 0.5113) (multiplicity 4)
Er (0.1568, 0.5000, 0.8051) (multiplicity 4)
Pb (0.0000, 0.0000, 0.5000) (multiplicity 2)
Pb (0.1360, 0.0000, 0.9742) (multiplicity 4)
Pb (0.2395, 0.5000, 0.2920) (multiplicity 4)

ΔE_f   -4.22 eV/f.u.
Total energy   -110.2 eV/cell


Density functional theory data (PBE) for a relaxed Pm3ErPb2 crystal.

a = 4.6373 Å, b = 4.6373 Å, c = 8.7918 Å
α = 90.00°, β = 90.00°, γ = 90.00°
Space group P-4m2 (No. 115)
Asymmetric unit:
Pm (0.0000, 0.0000, 0.0000) (multiplicity 1)
Pm (0.0000, 0.5000, 0.6552) (multiplicity 2)
Er (0.5000, 0.5000, 0.0000) (multiplicity 1)
Pb (0.0000, 0.5000, 0.2817) (multiplicity 2)

ΔE_f   -2.62 eV/f.u.
Polymorph energy (0 for the lowest one)   0.0 meV/atom
Total energy   -28.9 eV/cell


Density functional theory data (PBE) for a relaxed Pm2ErPb3 crystal.

a = 5.0018 Å, b = 15.2754 Å, c = 9.0950 Å
α = 90.00°, β = 90.00°, γ = 90.00°
Space group Cmmm (No. 65)
Asymmetric unit:
Pm (0.0000, 0.0000, 0.0000) (multiplicity 2)
Pm (0.0000, 0.0000, 0.5000) (multiplicity 2)
Pm (0.0000, 0.3330, 0.0000) (multiplicity 4)
Er (0.0000, 0.3317, 0.5000) (multiplicity 4)
Pb (0.0000, 0.1679, 0.2549) (multiplicity 8)
Pb (0.0000, 0.5000, 0.2541) (multiplicity 4)

ΔE_f   -2.83 eV/f.u.
Polymorph energy (0 for the lowest one)   0.0 meV/atom
Total energy   -112.1 eV/cell


Density functional theory data (PBE) for a relaxed PmErPb crystal.

a = 5.2286 Å, b = 5.2286 Å, c = 3.9563 Å
α = 90.00°, β = 90.00°, γ = 120.00°
Space group P3m1 (No. 156)
Asymmetric unit:
Pm (0.0000, 0.0000, 0.0000) (multiplicity 1)
Er (0.3333, 0.6667, 0.4693) (multiplicity 1)
Pb (0.6667, 0.3333, 0.6005) (multiplicity 1)

ΔE_f   -0.66 eV/f.u.
Polymorph energy (0 for the lowest one)   218.3 meV/atom
Total energy   -13.7 eV/cell


Density functional theory data (PBE) for a relaxed Pm3Er2Pb3 crystal.

a = 9.1980 Å, b = 9.1980 Å, c = 6.6941 Å
α = 90.00°, β = 90.00°, γ = 120.00°
Space group P6_3/mcm (No. 193)
Asymmetric unit:
Pm (0.0000, 0.2395, 0.2500) (multiplicity 6)
Er (0.3333, 0.6667, 0.0000) (multiplicity 4)
Pb (0.0000, 0.3977, 0.7500) (multiplicity 6)

ΔE_f   -4.36 eV/f.u.
Polymorph energy (0 for the lowest one)   0.0 meV/atom
Total energy   -77.7 eV/cell


Density functional theory data (PBE) for a relaxed Pm5Er12Pb3 crystal.

a = 18.4085 Å, b = 18.4085 Å, c = 18.4085 Å
α = 90.00°, β = 90.00°, γ = 90.00°
Space group Ia-3d (No. 230)
Asymmetric unit:
Pm (0.0000, 0.0000, 0.0000) (multiplicity 16)
Pm (0.0000, 0.2500, 0.3750) (multiplicity 24)
Er (0.0033, 0.0818, 0.6491) (multiplicity 96)
Pb (0.0000, 0.2500, 0.1250) (multiplicity 24)

ΔE_f   15.71 eV/f.u.
Total energy   -591.4 eV/cell


Density functional theory data (PBE) for a relaxed Pm2Er2Pb3 crystal.

a = 12.5284 Å, b = 5.2384 Å, c = 6.5363 Å
α = 90.00°, β = 91.24°, γ = 90.00°
Space group C2/m (No. 12)
Asymmetric unit:
Pm (0.1428, 0.0000, 0.0978) (multiplicity 4)
Er (0.0729, 0.5000, 0.7359) (multiplicity 4)
Pb (0.0000, 0.0000, 0.5000) (multiplicity 2)
Pb (0.2394, 0.5000, 0.3401) (multiplicity 4)

ΔE_f   -2.11 eV/f.u.
Total energy   -63.7 eV/cell


Density functional theory data (PBE) for a relaxed Pm4ErPb5 crystal.

a = 3.5738 Å, b = 3.5738 Å, c = 22.8824 Å
α = 90.00°, β = 90.00°, γ = 90.00°
Space group P4/mmm (No. 123)
Asymmetric unit:
Pm (0.0000, 0.0000, 0.1012) (multiplicity 2)
Pm (0.0000, 0.0000, 0.3025) (multiplicity 2)
Er (0.0000, 0.0000, 0.5000) (multiplicity 1)
Pb (0.5000, 0.5000, 0.0000) (multiplicity 1)
Pb (0.5000, 0.5000, 0.2019) (multiplicity 2)
Pb (0.5000, 0.5000, 0.4046) (multiplicity 2)

ΔE_f   -4.85 eV/f.u.
Total energy   -47.0 eV/cell


Density functional theory data (PBE) for a relaxed Pm4ErPb crystal.

a = 5.3854 Å, b = 23.3364 Å, c = 6.8584 Å
α = 90.00°, β = 90.00°, γ = 90.00°
Space group Cmc2_1 (No. 36)
Asymmetric unit:
Pm (0.0000, 0.0585, 0.0000) (multiplicity 4)
Pm (0.0000, 0.2114, 0.9583) (multiplicity 4)
Pm (0.0000, 0.2136, 0.4579) (multiplicity 4)
Pm (0.0000, 0.3638, 0.2142) (multiplicity 4)
Er (0.0000, 0.3545, 0.7133) (multiplicity 4)
Pb (0.0000, 0.0764, 0.4862) (multiplicity 4)

ΔE_f   0.18 eV/f.u.
Total energy   -108.4 eV/cell


Density functional theory data (PBE) for a relaxed Pm3Er2Pb3 crystal.

a = 4.4076 Å, b = 4.9938 Å, c = 21.7848 Å
α = 90.00°, β = 90.00°, γ = 90.00°
Space group Immm (No. 71)
Asymmetric unit:
Pm (0.0000, 0.0000, 0.0000) (multiplicity 2)
Pm (0.0000, 0.5000, 0.1214) (multiplicity 4)
Er (0.0000, 0.0000, 0.2450) (multiplicity 4)
Pb (0.0000, 0.0000, 0.5000) (multiplicity 2)
Pb (0.0000, 0.5000, 0.3643) (multiplicity 4)

ΔE_f   -3.26 eV/f.u.
Polymorph energy (0 for the lowest one)   136.8 meV/atom
Total energy   -75.5 eV/cell


Density functional theory data (PBE) for a relaxed PmErPb crystal.

a = 4.6108 Å, b = 4.6108 Å, c = 8.7096 Å
α = 90.00°, β = 90.00°, γ = 90.00°
Space group P4/nmm (No. 129, origin choice 2)
Asymmetric unit:
Pm (0.2500, 0.2500, 0.1573) (multiplicity 2)
Er (0.2500, 0.7500, 0.5000) (multiplicity 2)
Pb (0.2500, 0.2500, 0.7774) (multiplicity 2)

ΔE_f   -1.32 eV/f.u.
Polymorph energy (0 for the lowest one)   0.0 meV/atom
Total energy   -28.7 eV/cell


Density functional theory data (PBE) for a relaxed PmErPb crystal.

a = 7.3204 Å, b = 4.4106 Å, c = 11.1200 Å
α = 90.00°, β = 90.00°, γ = 90.00°
Space group Pnma (No. 62)
Asymmetric unit:
Pm (0.1280, 0.2500, 0.0920) (multiplicity 4)
Er (0.1203, 0.2500, 0.4066) (multiplicity 4)
Pb (0.1265, 0.2500, 0.7545) (multiplicity 4)

ΔE_f   -0.89 eV/f.u.
Polymorph energy (0 for the lowest one)   142.0 meV/atom
Total energy   -55.7 eV/cell


Density functional theory data (PBE) for a relaxed Pm4Er5Pb2 crystal.

a = 5.2999 Å, b = 5.2999 Å, c = 46.7038 Å
α = 90.00°, β = 90.00°, γ = 120.00°
Space group R-3m (No. 166, hexagonal axes)
Asymmetric unit:
Pm (0.0000, 0.0000, 0.0722) (multiplicity 6)
Pm (0.0000, 0.0000, 0.2245) (multiplicity 6)
Er (0.0000, 0.0000, 0.0000) (multiplicity 3)
Er (0.0000, 0.0000, 0.1481) (multiplicity 6)
Er (0.0000, 0.0000, 0.3030) (multiplicity 6)
Pb (0.0000, 0.0000, 0.3763) (multiplicity 6)

ΔE_f   2.05 eV/f.u.
Total energy   -141.5 eV/cell


Density functional theory data (PBE) for a relaxed Pm5ErPb3 crystal.

a = 9.6817 Å, b = 9.6817 Å, c = 6.7459 Å
α = 90.00°, β = 90.00°, γ = 120.00°
Space group P6_3/mcm (No. 193)
Asymmetric unit:
Pm (0.0000, 0.3286, 0.2500) (multiplicity 6)
Pm (0.3333, 0.6667, 0.0000) (multiplicity 4)
Er (0.0000, 0.0000, 0.0000) (multiplicity 2)
Pb (0.0000, 0.3360, 0.7500) (multiplicity 6)

ΔE_f   -3.63 eV/f.u.
Total energy   -86.1 eV/cell


Density functional theory data (PBE) for a relaxed Pm2ErPb crystal.

a = 7.8622 Å, b = 7.8622 Å, c = 7.8622 Å
α = 90.00°, β = 90.00°, γ = 90.00°
Space group Fm-3m (No. 225)
Asymmetric unit:
Pm (0.2500, 0.2500, 0.2500) (multiplicity 8)
Er (0.0000, 0.0000, 0.0000) (multiplicity 4)
Pb (0.0000, 0.0000, 0.5000) (multiplicity 4)

ΔE_f   -0.58 eV/f.u.
Polymorph energy (0 for the lowest one)   160.8 meV/atom
Total energy   -73.4 eV/cell


Density functional theory data (PBE) for a relaxed PmEr2Pb9 crystal.

a = 4.8896 Å, b = 4.8896 Å, c = 14.6332 Å
α = 90.00°, β = 90.00°, γ = 90.00°
Space group P4/mmm (No. 123)
Asymmetric unit:
Pm (0.0000, 0.0000, 0.0000) (multiplicity 1)
Er (0.0000, 0.0000, 0.3336) (multiplicity 2)
Pb (0.0000, 0.5000, 0.1700) (multiplicity 4)
Pb (0.0000, 0.5000, 0.5000) (multiplicity 2)
Pb (0.5000, 0.5000, 0.0000) (multiplicity 1)
Pb (0.5000, 0.5000, 0.3351) (multiplicity 2)

ΔE_f   -3.35 eV/f.u.
Total energy   -50.6 eV/cell


Density functional theory data (PBE) for a relaxed Pm4ErPb2 crystal.

a = 5.9892 Å, b = 5.9892 Å, c = 12.8395 Å
α = 90.00°, β = 90.00°, γ = 90.00°
Space group I4/mmm (No. 139)
Asymmetric unit:
Pm (0.0000, 0.5000, 0.0000) (multiplicity 4)
Pm (0.0000, 0.5000, 0.2500) (multiplicity 4)
Er (0.0000, 0.0000, 0.0000) (multiplicity 2)
Pb (0.0000, 0.0000, 0.3688) (multiplicity 4)

ΔE_f   0.40 eV/f.u.
Total energy   -61.2 eV/cell